Computed, not measured: a geometry-optimized SrVAu structure at the GGA-PBE level of DFT.

Calculated values
- crystal system = orthorhombic
- mass density (g cm⁻³) = 7.49
- E (eV per atom) = -4.5643
- SG = No. 62
- formation energy (meV per atom) = 128

Lattice parameters (Å, degrees): 9.558 3.388 9.191 90.00 90.00 90.00
Fractional coordinates of all 12 atoms:
1 Sr 0.178 0.250 0.087
2 Sr 0.322 0.750 0.587
3 Sr 0.678 0.250 0.413
4 Sr 0.822 0.750 0.913
5 V 0.045 0.250 0.422
6 V 0.455 0.750 0.922
7 V 0.545 0.250 0.078
8 V 0.955 0.750 0.578
9 Au 0.084 0.250 0.753
10 Au 0.416 0.750 0.253
11 Au 0.584 0.250 0.747
12 Au 0.916 0.750 0.247